Computed, not measured: an optimized crystal structure of Na3Ca2NpS6 at the GGA-PBE level of DFT.

Geometry as CIF:
```
data_Na3Ca2NpS6
_space_group_name_H-M_alt 'C 1 2/m 1'
_space_group_IT_number 12
_cell_length_a 6.9649
_cell_length_b 12.0736
_cell_length_c 7.0294
_cell_angle_alpha 90.00
_cell_angle_beta 109.42
_cell_angle_gamma 90.00
loop_
_space_group_symop_operation_xyz
'x,y,z'
'-x,-y,-z'
'-x,y,-z'
'x,-y,z'
'x+1/2,y+1/2,z'
'-x+1/2,-y+1/2,-z'
'-x+1/2,y+1/2,-z'
'x+1/2,-y+1/2,z'
loop_
_atom_site_label
_atom_site_fract_x
_atom_site_fract_y
_atom_site_fract_z
Na1 0.0000 0.0000 0.0000
Na2 0.0000 0.3317 0.0000
Ca1 0.0000 0.1670 0.5000
Np1 0.0000 0.5000 0.5000
S1 0.2319 0.3441 0.7280
S2 0.2355 0.5000 0.2767
```

Computed, not measured: an optimized crystal structure of Na2Ca3NpS6 at the GGA-PBE level of DFT.

Geometry as CIF:
```
data_Na2Ca3NpS6
_space_group_name_H-M_alt 'C 1 2/m 1'
_space_group_IT_number 12
_cell_length_a 7.0107
_cell_length_b 12.1125
_cell_length_c 6.9366
_cell_angle_alpha 90.00
_cell_angle_beta 109.73
_cell_angle_gamma 90.00
loop_
_space_group_symop_operation_xyz
'x,y,z'
'-x,-y,-z'
'-x,y,-z'
'x,-y,z'
'x+1/2,y+1/2,z'
'-x+1/2,-y+1/2,-z'
'-x+1/2,y+1/2,-z'
'x+1/2,-y+1/2,z'
loop_
_atom_site_label
_atom_site_fract_x
_atom_site_fract_y
_atom_site_fract_z
Na1 0.0000 0.1661 0.0000
Ca1 0.0000 0.0000 0.5000
Ca2 0.0000 0.3296 0.5000
Np1 0.0000 0.5000 0.0000
S1 0.2297 0.5000 0.7552
S2 0.2407 0.3426 0.2504
```

Formation energy from raw total energies per entry: -1535 -1710 meV per atom
Raw total energy per entry: -5.341 -5.573 eV per atom
Size of the total moment per entry: 2.00 3.00 μB per formula unit